No. 1
Th2Hg2Te: relaxed, GGA-PBE. Values from VASP.

The structure in Quantum ESPRESSO input format:
```
&SYSTEM
  ibrav = 0, nat = 5, ntyp = 3
/
ATOMIC_SPECIES
Th 232.04 Th.upf
Hg 200.59 Hg.upf
Te 127.60 Te.upf
ATOMIC_POSITIONS angstrom
Th 0.0000 0.0000 1.9732
Th 0.0000 0.0000 20.3092
Hg 0.0000 0.0000 7.0229
Hg 0.0000 0.0000 15.2595
Te 0.0000 0.0000 11.1412
CELL_PARAMETERS angstrom
2.3683 1.3673 7.4275
-2.3683 1.3673 7.4275
0.0000 -2.7346 7.4275
```

Values from the calculation:
V: 28.862 Å³/atom
D(E_F): 1.4 states/eV/cell
VASP energy: -21.4 eV per cell
E_form (uncorrected): -561 meV per atom

---

No. 2
Ce3Ge9Pt2Rh: relaxed, GGA-PBE. Values from VASP.

The structure in Quantum ESPRESSO input format:
```
&SYSTEM
  ibrav = 0, nat = 15, ntyp = 4
/
ATOMIC_SPECIES
Ce 140.12 Ce.upf
Ge 72.64 Ge.upf
Pt 195.08 Pt.upf
Rh 102.91 Rh.upf
ATOMIC_POSITIONS angstrom
Ce 0.0000 0.0000 0.0000
Ce 0.0000 3.5825 6.7491
Ce 3.1025 1.7912 2.4568
Ge -1.5513 2.6869 0.0000
Ge 0.0000 1.5823 2.5212
Ge -1.7322 4.5826 2.5212
Ge 1.3703 0.7912 6.6848
Ge 3.1025 0.0000 0.0000
Ge 1.5513 2.6869 0.0000
Ge 1.7322 4.5826 2.5212
Ge 4.8347 0.7912 6.6848
Ge 3.1025 3.7914 6.6848
Pt 0.0000 3.5825 3.8606
Pt 3.1025 1.7912 5.3453
Rh 0.0000 0.0000 4.6030
CELL_PARAMETERS angstrom
6.2051 0.0000 0.0000
-3.1025 5.3737 0.0000
0.0000 0.0000 9.2060
```

Values from the calculation:
V: 20.464 Å³/atom
ΔE_f: -0.37 eV per atom
D(E_F): 13.4 states/eV/cell
VASP energy: -84.3 eV per cell

---

No. 3
MgGaHg4: relaxed, GGA-PBE. Values from VASP.

The structure in Quantum ESPRESSO input format:
```
&SYSTEM
  ibrav = 0, nat = 12, ntyp = 3
/
ATOMIC_SPECIES
Mg 24.30 Mg.upf
Ga 69.72 Ga.upf
Hg 200.59 Hg.upf
ATOMIC_POSITIONS angstrom
Mg 0.0000 0.0000 0.0000
Mg 0.0000 0.0000 4.8355
Ga 3.6831 2.4000 7.2533
Ga 3.6831 -2.4000 2.4178
Hg 1.8118 0.3548 7.2533
Hg 1.8118 -0.3548 2.4178
Hg 3.6831 1.4436 0.5514
Hg 3.6831 1.4436 4.2841
Hg 3.6831 -1.4436 5.3869
Hg 3.6831 -1.4436 9.1197
Hg 5.5545 0.3548 7.2533
Hg 5.5545 -0.3548 2.4178
CELL_PARAMETERS angstrom
3.6831 -4.2205 0.0000
3.6831 4.2205 0.0000
0.0000 0.0000 9.6710
```

Values from the calculation:
V: 25.056 Å³/atom
ΔE_f: 0.00 eV per atom
D(E_F): 4.8 states/eV/cell
VASP energy: -11.6 eV per cell

---

No. 4
YSnAu2: relaxed, GGA-PBE. Values from VASP.

The structure in Quantum ESPRESSO input format:
```
&SYSTEM
  ibrav = 0, nat = 4, ntyp = 3
/
ATOMIC_SPECIES
Y 88.91 Y.upf
Sn 118.71 Sn.upf
Au 196.97 Au.upf
ATOMIC_POSITIONS angstrom
Y 0.0000 0.0000 0.0000
Sn 2.3055 2.3055 0.0000
Au 0.0000 2.3055 2.0786
Au 2.3055 0.0000 2.0786
CELL_PARAMETERS angstrom
4.6110 0.0000 0.0000
0.0000 4.6110 0.0000
0.0000 0.0000 4.1571
```

Values from the calculation:
V: 22.096 Å³/atom
ΔE_f: -0.60 eV per atom
D(E_F): 2.4 states/eV/cell
VASP energy: -19.4 eV per cell

---

No. 5
BaTcHg2: relaxed, GGA-PBE. Values from VASP.

The structure in Quantum ESPRESSO input format:
```
&SYSTEM
  ibrav = 0, nat = 8, ntyp = 3
/
ATOMIC_SPECIES
Ba 137.33 Ba.upf
Tc 98.00 Tc.upf
Hg 200.59 Hg.upf
ATOMIC_POSITIONS angstrom
Ba 0.0000 0.0000 0.0000
Ba 2.4443 0.0000 5.2398
Tc 4.3557 2.1960 2.8117
Tc 5.2870 0.0000 3.4727
Hg 1.2311 2.1960 2.7580
Hg 2.9514 0.0000 1.6808
Hg 2.7417 2.1960 8.0611
Hg 5.2950 2.1960 5.5133
CELL_PARAMETERS angstrom
5.9561 0.0000 0.0000
0.0000 4.3920 0.0000
-0.4159 0.0000 8.3900
```

Values from the calculation:
V: 27.434 Å³/atom
ΔE_f: -0.02 eV per atom
D(E_F): 5.0 states/eV/cell
VASP energy: -25.9 eV per cell

---

No. 6
La7Nd2Er: relaxed, GGA-PBE. Values from VASP.

The structure in Quantum ESPRESSO input format:
```
&SYSTEM
  ibrav = 0, nat = 10, ntyp = 3
/
ATOMIC_SPECIES
La 138.91 La.upf
Nd 144.24 Nd.upf
Er 167.26 Er.upf
ATOMIC_POSITIONS angstrom
La 0.0000 0.0000 0.0000
La 2.8191 1.8460 0.0000
La 4.4973 3.9129 2.8090
La 2.8191 -1.8460 0.0000
La 6.1755 1.8460 0.0000
La 4.4973 -3.9129 2.8090
La 6.1755 -1.8460 0.0000
Nd 4.4973 4.8930 0.0000
Nd 4.4973 -4.8930 0.0000
Er 4.4973 0.0000 2.8090
CELL_PARAMETERS angstrom
4.4973 -8.1843 0.0000
4.4973 8.1843 0.0000
0.0000 0.0000 5.6180
```

Values from the calculation:
V: 41.356 Å³/atom
ΔE_f: 0.56 eV per atom
D(E_F): 17.4 states/eV/cell
VASP energy: -43.0 eV per cell

---

Q: The lowest V belongs to which entry?
A: Ce3Ge9Pt2Rh

---

Q: D(E_F) of number 1 (Th2Hg2Te)?
A: 1.4 states/eV/cell